No. 1
Crystalline Rb2ScTlI6 at its relaxed geometry, computed with PBE.

abc: 8.792 8.793 8.746
angles: 59.83 59.83 59.99
Atoms (fractional coordinates):
Rb 0.544 0.544 0.367
Rb 0.035 0.035 0.894
Sc 0.322 0.322 0.035
Tl 0.817 0.817 0.550
I 0.545 0.181 0.264
I 0.181 0.010 0.264
I 0.010 0.546 0.264
I 0.459 0.639 0.792
I 0.639 0.110 0.793
I 0.110 0.459 0.793

**DFT total energy**: -3.212 eV per atom


No. 2
Crystalline InSi2Te at its relaxed geometry, computed with PBE.

abc: 6.094 6.094 7.751
angles: 66.85 66.85 90.00
Atoms (fractional coordinates):
Si 0.611 0.125 0.250
Si 0.139 0.625 0.250
Si 0.375 0.389 0.750
Si 0.875 0.861 0.750
Te 0.000 0.000 0.000
Te 0.750 0.250 0.500
In 0.500 0.500 0.000
In 0.250 0.750 0.500

**DFT total energy**: -3.734 eV per atom
**Relative energy among the computed polymorphs**: 268 meV/atom


Number 1: D(E_F) 0.00 states/eV/f.u., calculated volume 47.68 Å³/atom, calculated density 4.1 Mg/m³. Number 2: D(E_F) 3.46 states/eV/f.u., calculated volume 29.91 Å³/atom, calculated density 4.1 Mg/m³.